[1]
ZnH8N4Cl2: PBEsol geometry, meta-GGA SCAN.

Calculated values
**E_tot**: -6.731 eV/atom
**Density**: 2.43 g/cm³
**SG**: C2/m (12)

Cell: 4.0771 5.9192 5.9192 Å, 83.79 78.88 78.88°
With the nearest neighbours (Å) after each atom.
Fractional positions:
H (0.5440, 0.6800, 0.9960)  1 N 1.04
H (0.5440, 0.9960, 0.6800)  1 N 1.04
H (0.4560, 0.3200, 0.0040)  1 N 1.04
H (0.4560, 0.0040, 0.3200)  1 N 1.04
H (0.2889, 0.6343, 0.2500)  1 N 1.04
H (0.2889, 0.2500, 0.6343)  1 N 1.04
H (0.7111, 0.3657, 0.7500)  1 N 1.04
H (0.7111, 0.7500, 0.3657)  1 N 1.04
Zn (0.0000, 0.0000, 0.0000)  4 N 2.15
N (0.3913, 0.7590, 0.1369)  2 H 1.04
N (0.3913, 0.1369, 0.7590)  2 H 1.04
N (0.6087, 0.2410, 0.8631)  2 H 1.04
N (0.6087, 0.8631, 0.2410)  2 H 1.04
Cl (0.0049, 0.7094, 0.7094)  4 H 2.30-2.52, 1 Zn 2.56
Cl (0.9951, 0.2906, 0.2906)  4 H 2.30-2.52, 1 Zn 2.56

[2]
NaHCl2: PBEsol geometry, meta-GGA SCAN.

Calculated values
**E_tot**: -7.160 eV/atom
**Density**: 1.74 g/cm³
**SG**: R-3m (166)

Cell: 4.2305 4.2305 6.3351 Å, 70.49 70.49 60.00°
With the nearest neighbours (Å) after each atom.
Fractional positions:
Na (0.5000, 0.5000, 0.5000)  6 Cl 2.80
Cl (0.9115, 0.9115, 0.2655)  1 H 1.55
Cl (0.0885, 0.0885, 0.7345)  1 H 1.55
H (0.0000, 0.0000, 0.0000)  2 Cl 1.55

[3]
Na2HCl: PBEsol geometry, meta-GGA SCAN.

Calculated values
**E_tot**: -6.047 eV/atom
**Density**: 1.75 g/cm³
**SG**: I-42d (122)

Cell: 5.9279 5.9279 5.9279 Å, 80.75 65.19 114.81°
With the nearest neighbours (Å) after each atom.
Fractional positions:
Na (0.9408, 0.1250, 0.4342)  2 H 2.23
Na (0.0592, 0.6250, 0.8158)  2 H 2.23
Na (0.5592, 0.4342, 0.6250)  2 H 2.23
Na (0.4408, 0.8158, 0.1250)  2 H 2.23
Cl (0.0000, 0.0000, 0.0000)  4 Na 2.71
Cl (0.5000, 0.2500, 0.2500)  4 Na 2.71
H (0.0000, 0.5000, 0.5000)  4 Na 2.23
H (0.5000, 0.7500, 0.7500)  4 Na 2.23

[4]
NaHCl2: PBEsol geometry, meta-GGA SCAN.

Calculated values
**E_tot**: -6.144 eV/atom
**Density**: 2.29 g/cm³
**SG**: Fm-3m (225)

Cell: 4.6005 4.6005 4.6005 Å, 60.00 60.00 60.00°
With the nearest neighbours (Å) after each atom.
Fractional positions:
Na (0.5000, 0.5000, 0.5000)  8 Cl 2.82
Cl (0.2500, 0.2500, 0.2500)  4 H 2.82, 4 Na 2.82
Cl (0.7500, 0.7500, 0.7500)  4 Na 2.82, 4 H 2.82
H (0.0000, 0.0000, 0.0000)  8 Cl 2.82

[5]
Na3HCl: PBEsol geometry, meta-GGA SCAN.

Calculated values
**E_tot**: -5.401 eV/atom
**Density**: 1.65 g/cm³
**SG**: Pm-3m (221)

Cell: 4.7384 4.7384 4.7384 Å, 90.00 90.00 90.00°
With the nearest neighbours (Å) after each atom.
Fractional positions:
Na (0.0000, 0.5000, 0.0000)  2 H 2.37
Na (0.0000, 0.0000, 0.5000)  2 H 2.37
Na (0.5000, 0.0000, 0.0000)  2 H 2.37
H (0.0000, 0.0000, 0.0000)  6 Na 2.37
Cl (0.5000, 0.5000, 0.5000)  12 Na 3.35

[6]
NaZn4H18SClO16: PBEsol geometry, meta-GGA SCAN.

Calculated values
**E_tot**: -7.084 eV/atom
**Density**: 2.75 g/cm³
**SG**: P-3 (147)

Cell: 8.2818 8.2818 12.7258 Å, 90.00 90.00 120.00°
With the nearest neighbours (Å) after each atom.
Fractional positions:
Na (0.6667, 0.3333, 0.9091)  6 O 2.43-2.51
Na (0.3333, 0.6667, 0.0909)  6 O 2.43-2.51
Zn (0.8746, 0.5871, 0.5068)  5 O 2.00-2.14
Zn (0.0000, 0.0000, 0.3580)  3 O 1.95
Zn (0.0000, 0.0000, 0.6420)  3 O 1.95
Zn (0.7124, 0.1254, 0.5068)  5 O 2.00-2.14
Zn (0.4129, 0.2876, 0.5068)  5 O 2.00-2.14
Zn (0.5871, 0.7124, 0.4932)  5 O 2.00-2.14
Zn (0.2876, 0.8746, 0.4932)  5 O 2.00-2.14
Zn (0.1254, 0.4129, 0.4932)  5 O 2.00-2.14
H (0.9929, 0.4481, 0.7902)  1 O 1.00
H (0.7633, 0.6738, 0.3374)  1 O 0.99
H (0.7674, 0.6947, 0.8007)  1 O 0.99
H (0.7414, 0.7068, 0.0016)  1 O 1.01
H (0.7634, 0.5905, 0.0928)  1 O 0.99
H (0.8833, 0.3512, 0.6499)  1 O 1.00
H (0.9654, 0.2586, 0.0016)  1 O 1.01
H (0.6488, 0.5321, 0.6499)  1 O 1.00
H (0.9273, 0.2326, 0.8007)  1 O 0.99
H (0.9105, 0.2367, 0.3374)  1 O 0.99
H (0.8271, 0.2366, 0.0928)  1 O 0.99
H (0.5519, 0.5448, 0.7902)  1 O 1.00
H (0.6947, 0.9273, 0.1993)  1 O 0.99
H (0.6738, 0.9105, 0.6626)  1 O 0.99
H (0.7068, 0.9654, 0.9984)  1 O 1.01
H (0.4679, 0.1167, 0.6499)  1 O 1.00
H (0.4095, 0.1729, 0.0928)  1 O 0.99
H (0.5448, 0.9929, 0.2098)  1 O 1.00
H (0.4552, 0.0071, 0.7902)  1 O 1.00
H (0.5905, 0.8271, 0.9072)  1 O 0.99
H (0.5321, 0.8833, 0.3501)  1 O 1.00
H (0.2932, 0.0346, 0.0016)  1 O 1.01
H (0.3262, 0.0895, 0.3374)  1 O 0.99
H (0.3053, 0.0727, 0.8007)  1 O 0.99
H (0.4481, 0.4552, 0.2098)  1 O 1.00
H (0.1729, 0.7634, 0.9072)  1 O 0.99
H (0.0895, 0.7633, 0.6626)  1 O 0.99
H (0.0727, 0.7674, 0.1993)  1 O 0.99
H (0.3512, 0.4679, 0.3501)  1 O 1.00
H (0.0346, 0.7414, 0.9984)  1 O 1.01
H (0.1167, 0.6488, 0.3501)  1 O 1.00
H (0.2366, 0.4095, 0.9072)  1 O 0.99
H (0.2586, 0.2932, 0.9984)  1 O 1.01
H (0.2326, 0.3053, 0.1993)  1 O 0.99
H (0.2367, 0.3262, 0.6626)  1 O 0.99
H (0.0071, 0.5519, 0.2098)  1 O 1.00
S (0.6667, 0.3333, 0.2669)  4 O 1.48-1.50
S (0.3333, 0.6667, 0.7331)  4 O 1.48-1.50
Cl (0.0000, 0.0000, 0.1795)  1 Zn 2.27, 3 H 2.30
Cl (0.0000, 0.0000, 0.8205)  1 Zn 2.27, 3 H 2.30
O (0.8121, 0.7499, 0.4021)  1 H 0.99
O (0.7948, 0.6237, 0.0179)  2 H 0.99-1.01
O (0.8939, 0.3700, 0.5720)  1 H 1.00
O (0.6797, 0.5623, 0.7843)  2 H 0.99-1.00
O (0.8826, 0.3203, 0.7843)  2 H 0.99-1.00
O (0.6775, 0.5083, 0.2270)  1 S 1.50
O (0.6300, 0.5239, 0.5720)  1 H 1.00
O (0.8308, 0.3225, 0.2270)  1 S 1.50
O (0.9379, 0.1879, 0.4021)  1 H 0.99
O (0.8289, 0.2052, 0.0179)  2 H 0.99-1.01
O (0.6667, 0.3333, 0.3834)  1 S 1.48
O (0.7499, 0.9379, 0.5979)  1 H 0.99
O (0.4917, 0.1692, 0.2270)  1 S 1.50
O (0.4761, 0.1061, 0.5720)  1 H 1.00
O (0.3763, 0.1711, 0.0179)  2 H 0.99-1.01
O (0.4377, 0.1174, 0.7843)  2 H 0.99-1.00
O (0.5623, 0.8826, 0.2157)  2 H 0.99-1.00
O (0.6237, 0.8289, 0.9821)  2 H 0.99-1.01
O (0.5239, 0.8939, 0.4280)  1 H 1.00
O (0.5083, 0.8308, 0.7730)  1 S 1.50
O (0.2501, 0.0621, 0.4021)  1 H 0.99
O (0.3333, 0.6667, 0.6166)  1 S 1.48
O (0.1711, 0.7948, 0.9821)  2 H 0.99-1.01
O (0.0621, 0.8121, 0.5979)  1 H 0.99
O (0.1692, 0.6775, 0.7730)  1 S 1.50
O (0.3700, 0.4761, 0.4280)  1 H 1.00
O (0.3225, 0.4917, 0.7730)  1 S 1.50
O (0.1174, 0.6797, 0.2157)  2 H 0.99-1.00
O (0.3203, 0.4377, 0.2157)  2 H 0.99-1.00
O (0.1061, 0.6300, 0.4280)  1 H 1.00
O (0.2052, 0.3763, 0.9821)  2 H 0.99-1.01
O (0.1879, 0.2501, 0.5979)  1 H 0.99

[7]
NaSbH2Cl: PBEsol geometry, meta-GGA SCAN.

Calculated values
**E_tot**: -11.580 eV/atom
**Density**: 2.94 g/cm³
**SG**: P4/mmm (123)

Cell: 3.8266 3.8266 7.0361 Å, 90.00 90.00 90.00°
With the nearest neighbours (Å) after each atom.
Fractional positions:
Sb (0.0000, 0.0000, 0.0000)  4 H 1.91
Cl (0.5000, 0.5000, 0.5000)  4 Na 2.71
H (0.0000, 0.5000, 0.0000)  2 Sb 1.91
H (0.5000, 0.0000, 0.0000)  2 Sb 1.91
Na (0.0000, 0.0000, 0.5000)  4 Cl 2.71

[8]
NbH3Cl: PBEsol geometry, meta-GGA SCAN.

Calculated values
**E_tot**: -10.001 eV/atom
**Density**: 4.29 g/cm³
**SG**: Pm-3m (221)

Cell: 3.7045 3.7045 3.7045 Å, 90.00 90.00 90.00°
With the nearest neighbours (Å) after each atom.
Fractional positions:
H (0.0000, 0.5000, 0.0000)  2 Nb 1.85
H (0.0000, 0.0000, 0.5000)  2 Nb 1.85
H (0.5000, 0.0000, 0.0000)  2 Nb 1.85
Nb (0.0000, 0.0000, 0.0000)  6 H 1.85
Cl (0.5000, 0.5000, 0.5000)  12 H 2.62

[9]
NbP2HCl: PBEsol geometry, meta-GGA SCAN.

Calculated values
**E_tot**: -12.593 eV/atom
**Density**: 2.81 g/cm³
**SG**: P4/mmm (123)

Cell: 4.7714 4.7714 4.9614 Å, 90.00 90.00 90.00°
With the nearest neighbours (Å) after each atom.
Fractional positions:
P (0.0000, 0.5000, 0.0000)  2 Nb 2.39
P (0.5000, 0.0000, 0.0000)  2 Nb 2.39
Nb (0.0000, 0.0000, 0.0000)  4 P 2.39, 2 Cl 2.48
H (0.5000, 0.5000, 0.5000)  4 Cl 3.37, 8 P 3.44
Cl (0.0000, 0.0000, 0.5000)  2 Nb 2.48

[10]
NiHCl3: PBEsol geometry, meta-GGA SCAN.

Calculated values
**E_tot**: -8.026 eV/atom
**Density**: 3.65 g/cm³
**SG**: Pm-3m (221)

Cell: 4.2282 4.2282 4.2282 Å, 90.00 90.00 90.00°
With the nearest neighbours (Å) after each atom.
Fractional positions:
Ni (0.5000, 0.5000, 0.5000)  12 Cl 2.99
H (0.0000, 0.0000, 0.0000)  6 Cl 2.11
Cl (0.0000, 0.5000, 0.0000)  2 H 2.11
Cl (0.0000, 0.0000, 0.5000)  2 H 2.11
Cl (0.5000, 0.0000, 0.0000)  2 H 2.11

[11]
NiHSCl2: PBEsol geometry, meta-GGA SCAN.

Calculated values
**E_tot**: -8.605 eV/atom
**Density**: 2.94 g/cm³
**SG**: P4/mmm (123)

Cell: 4.2090 4.6685 4.6685 Å, 90.00 90.00 90.00°
With the nearest neighbours (Å) after each atom.
Fractional positions:
Ni (0.0000, 0.0000, 0.0000)  2 S 2.10, 4 Cl 2.33
S (0.5000, 0.0000, 0.0000)  2 Ni 2.10
H (0.5000, 0.5000, 0.5000)  8 Cl 3.14, 4 S 3.30
Cl (0.0000, 0.0000, 0.5000)  2 Ni 2.33
Cl (0.0000, 0.5000, 0.0000)  2 Ni 2.33

[12]
RbZnH2Se2ClO6: PBEsol geometry, meta-GGA SCAN.

Calculated values
**E_tot**: -10.989 eV/atom
**Density**: 3.63 g/cm³
**SG**: P2/c (13)

Cell: 6.0208 6.3945 10.7590 Å, 102.44 90.00 90.00°
With the nearest neighbours (Å) after each atom.
Fractional positions:
Rb (0.1577, 0.0000, 0.2500)  6 O 2.92-2.97
Rb (0.8423, 0.0000, 0.7500)  6 O 2.92-2.97
Zn (0.5625, 0.5000, 0.2500)  4 O 2.04-2.10, 1 Cl 2.28
Zn (0.4375, 0.5000, 0.7500)  4 O 2.04-2.10, 1 Cl 2.28
H (0.6489, 0.9291, 0.4096)  1 O 1.04
H (0.6489, 0.0709, 0.0904)  1 O 1.04
H (0.3511, 0.9291, 0.9096)  1 O 1.04
H (0.3511, 0.0709, 0.5904)  1 O 1.04
Se (0.6846, 0.2992, 0.4900)  3 O 1.71-1.77
Se (0.6846, 0.7008, 0.0100)  3 O 1.71-1.77
Se (0.3154, 0.2992, 0.9900)  3 O 1.71-1.77
Se (0.3154, 0.7008, 0.5100)  3 O 1.71-1.77
Cl (0.9413, 0.5000, 0.2500)  1 Zn 2.28
Cl (0.0587, 0.5000, 0.7500)  1 Zn 2.28
O (0.7798, 0.0370, 0.4237)  1 H 1.04
O (0.4751, 0.3242, 0.3867)  1 Se 1.71
O (0.4603, 0.7601, 0.3826)  1 H 1.55, 1 Se 1.73
O (0.4603, 0.2399, 0.1174)  1 H 1.55, 1 Se 1.73
O (0.4751, 0.6758, 0.1133)  1 Se 1.71
O (0.7798, 0.9630, 0.0763)  1 H 1.04
O (0.2202, 0.0370, 0.9237)  1 H 1.04
O (0.5249, 0.3242, 0.8867)  1 Se 1.71
O (0.5397, 0.7601, 0.8826)  1 H 1.55, 1 Se 1.73
O (0.5397, 0.2399, 0.6174)  1 H 1.55, 1 Se 1.73
O (0.5249, 0.6758, 0.6133)  1 Se 1.71
O (0.2202, 0.9630, 0.5763)  1 H 1.04

[13]
Rb3TeH6Cl3O6: PBEsol geometry, meta-GGA SCAN.

Calculated values
**E_tot**: -10.950 eV/atom
**Density**: 3.07 g/cm³
**SG**: R-3c (167)

Cell: 9.0014 9.0014 9.0014 Å, 104.82 104.82 104.82°
With the nearest neighbours (Å) after each atom.
Fractional positions:
Cl (0.5180, 0.7500, 0.9820)  2 H 2.05
Cl (0.7500, 0.9820, 0.5180)  2 H 2.05
Cl (0.9820, 0.5180, 0.7500)  2 H 2.05
Cl (0.4820, 0.2500, 0.0180)  2 H 2.05
Cl (0.2500, 0.0180, 0.4820)  2 H 2.05
Cl (0.0180, 0.4820, 0.2500)  2 H 2.05
H (0.9396, 0.6990, 0.9065)  1 O 1.01
H (0.6990, 0.9065, 0.9396)  1 O 1.01
H (0.9065, 0.9396, 0.6990)  1 O 1.01
H (0.5604, 0.5935, 0.8010)  1 O 1.01
H (0.8010, 0.5604, 0.5935)  1 O 1.01
H (0.5935, 0.8010, 0.5604)  1 O 1.01
H (0.0604, 0.3010, 0.0935)  1 O 1.01
H (0.3010, 0.0935, 0.0604)  1 O 1.01
H (0.0935, 0.0604, 0.3010)  1 O 1.01
H (0.4396, 0.4065, 0.1990)  1 O 1.01
H (0.1990, 0.4396, 0.4065)  1 O 1.01
H (0.4065, 0.1990, 0.4396)  1 O 1.01
O (0.9285, 0.7779, 0.0014)  1 H 1.01
O (0.7779, 0.0014, 0.9285)  1 H 1.01
O (0.0014, 0.9285, 0.7779)  1 H 1.01
O (0.5715, 0.4986, 0.7221)  1 H 1.01
O (0.7221, 0.5715, 0.4986)  1 H 1.01
O (0.4986, 0.7221, 0.5715)  1 H 1.01
O (0.0715, 0.2221, 0.9986)  1 H 1.01
O (0.2221, 0.9986, 0.0715)  1 H 1.01
O (0.9986, 0.0715, 0.2221)  1 H 1.01
O (0.4285, 0.5014, 0.2779)  1 H 1.01
O (0.2779, 0.4285, 0.5014)  1 H 1.01
O (0.5014, 0.2779, 0.4285)  1 H 1.01
Rb (0.2953, 0.7500, 0.2047)  2 O 2.93, 3 Cl 3.18-3.19
Rb (0.7500, 0.2047, 0.2953)  2 O 2.93, 3 Cl 3.18-3.19
Rb (0.2047, 0.2953, 0.7500)  2 O 2.93, 3 Cl 3.18-3.19
Rb (0.7047, 0.2500, 0.7953)  2 O 2.93, 3 Cl 3.18-3.19
Rb (0.2500, 0.7953, 0.7047)  2 O 2.93, 3 Cl 3.18-3.19
Rb (0.7953, 0.7047, 0.2500)  2 O 2.93, 3 Cl 3.18-3.19
Te (0.0000, 0.0000, 0.0000)  6 O 1.94
Te (0.5000, 0.5000, 0.5000)  6 O 1.94

[14]
SmH2ClO2: PBEsol geometry, meta-GGA SCAN.

Calculated values
**E_tot**: -14.256 eV/atom
**Density**: 5.07 g/cm³
**SG**: Pnma (62)

Cell: 3.7106 6.2245 12.4686 Å, 90.00 90.00 90.00°
With the nearest neighbours (Å) after each atom.
Fractional positions:
Sm (0.7500, 0.2484, 0.0601)  6 O 2.36-2.42
Sm (0.2500, 0.7484, 0.4399)  6 O 2.36-2.42
Sm (0.7500, 0.2516, 0.5601)  6 O 2.36-2.42
Sm (0.2500, 0.7516, 0.9399)  6 O 2.36-2.42
H (0.7500, 0.7011, 0.1184)  1 O 0.99
H (0.2500, 0.9469, 0.1564)  1 O 0.98
H (0.7500, 0.4469, 0.3436)  1 O 0.98
H (0.2500, 0.2011, 0.3816)  1 O 0.99
H (0.7500, 0.7989, 0.6184)  1 O 0.99
H (0.2500, 0.5531, 0.6564)  1 O 0.98
H (0.7500, 0.0531, 0.8436)  1 O 0.98
H (0.2500, 0.2989, 0.8816)  1 O 0.99
Cl (0.2500, 0.4027, 0.2221)  3 H 2.35-2.41
Cl (0.7500, 0.9027, 0.2779)  3 H 2.35-2.41
Cl (0.2500, 0.0973, 0.7221)  3 H 2.35-2.41
Cl (0.7500, 0.5973, 0.7779)  3 H 2.35-2.41
O (0.7500, 0.6326, 0.0470)  1 H 0.99
O (0.2500, 0.0015, 0.0823)  1 H 0.98
O (0.7500, 0.5015, 0.4177)  1 H 0.98
O (0.2500, 0.1326, 0.4530)  1 H 0.99
O (0.7500, 0.8674, 0.5470)  1 H 0.99
O (0.2500, 0.4985, 0.5823)  1 H 0.98
O (0.7500, 0.9985, 0.9177)  1 H 0.98
O (0.2500, 0.3674, 0.9530)  1 H 0.99

[15]
SnH10Cl4O5: PBEsol geometry, meta-GGA SCAN.

Calculated values
**E_tot**: -7.753 eV/atom
**Density**: 2.41 g/cm³
**SG**: C2/c (15)

Cell: 7.8464 7.8464 8.4364 Å, 78.06 78.06 74.88°
With the nearest neighbours (Å) after each atom.
Fractional positions:
Sn (0.2558, 0.7442, 0.2500)  2 O 2.11
Sn (0.7442, 0.2558, 0.7500)  2 O 2.11
H (0.4307, 0.1314, 0.2535)  1 O 0.99
H (0.1314, 0.4307, 0.7535)  1 O 0.99
H (0.6034, 0.2124, 0.2237)  1 O 1.02
H (0.3836, 0.3867, 0.3339)  1 O 1.03
H (0.3043, 0.4708, 0.5182)  1 O 1.02
H (0.2124, 0.6034, 0.7237)  1 O 1.02
H (0.3867, 0.3836, 0.8339)  1 O 1.03
H (0.8402, 0.0976, 0.3441)  1 O 0.99
H (0.9024, 0.1598, 0.1559)  1 O 0.99
H (0.4708, 0.3043, 0.0182)  1 O 1.02
H (0.5292, 0.6957, 0.9818)  1 O 1.02
H (0.0976, 0.8402, 0.8441)  1 O 0.99
H (0.1598, 0.9024, 0.6559)  1 O 0.99
H (0.6133, 0.6164, 0.1661)  1 O 1.03
H (0.7876, 0.3966, 0.2763)  1 O 1.02
H (0.6957, 0.5292, 0.4818)  1 O 1.02
H (0.6164, 0.6133, 0.6661)  1 O 1.03
H (0.3966, 0.7876, 0.7763)  1 O 1.02
H (0.8686, 0.5693, 0.2465)  1 O 0.99
H (0.5693, 0.8686, 0.7465)  1 O 0.99
Cl (0.1990, 0.0208, 0.0607)  1 H 2.35, 1 Sn 2.41
Cl (0.0208, 0.1990, 0.5607)  1 H 2.35, 1 Sn 2.41
Cl (0.1252, 0.5902, 0.1012)  1 H 2.16
Cl (0.5902, 0.1252, 0.6012)  1 H 2.16
Cl (0.4098, 0.8748, 0.3988)  1 H 2.16
Cl (0.8748, 0.4098, 0.8988)  1 H 2.16
Cl (0.9792, 0.8010, 0.4393)  1 H 2.35, 1 Sn 2.41
Cl (0.8010, 0.9792, 0.9393)  1 H 2.35, 1 Sn 2.41
O (0.4720, 0.2444, 0.2116)  2 H 0.99-1.02
O (0.2444, 0.4720, 0.7116)  2 H 0.99-1.02
O (0.3455, 0.4951, 0.3939)  2 H 1.02-1.03
O (0.8084, 0.1916, 0.2500)  2 H 0.99
O (0.4951, 0.3455, 0.8939)  2 H 1.02-1.03
O (0.5049, 0.6545, 0.1061)  2 H 1.02-1.03
O (0.1916, 0.8084, 0.7500)  2 H 0.99
O (0.6545, 0.5049, 0.6061)  2 H 1.02-1.03
O (0.7556, 0.5280, 0.2884)  2 H 0.99-1.02
O (0.5280, 0.7556, 0.7884)  2 H 0.99-1.02